Record 1
Compound: NdSmTePb
Source: Alexandria via LeMat-Bulk
Functional: PBE
Structure: relaxed

Total energy ... -5.097 eV/atom
Magnetic moment ... 0.0 Bohr magnetons per cell
Formation energy from raw total energies ... -1012 meV per atom

Lattice parameters (Å, degrees): 4.522 4.522 7.852 73.27 73.27 60.00
Sites, in units of the cell vectors:
Nd 0.946 0.946 0.161
Sm 0.442 0.442 0.674
Te 0.193 0.193 0.421
Pb 0.695 0.695 0.914

Record 2
Compound: Hf2CrSe
Source: Alexandria via LeMat-Bulk
Functional: PBE
Structure: relaxed

Total energy ... -7.984 eV/atom
Magnetic moment ... 2.8 Bohr magnetons per cell
Formation energy from raw total energies ... 269 meV per atom

Lattice parameters (Å, degrees): 3.238 3.238 9.393 80.08 80.08 60.00
Site moments in Bohr magnetons follow the coordinates.
Sites, in units of the cell vectors:
Cr 0.000 0.000 0.000  3.14
Hf 0.094 0.094 0.717  -0.22
Hf 0.906 0.906 0.283  -0.22
Se 0.500 0.500 0.500  0.02

Record 3
Compound: Ca2ScMo
Source: Alexandria via LeMat-Bulk
Functional: PBE
Structure: relaxed

Total energy ... -4.641 eV/atom
Magnetic moment ... 0.0 Bohr magnetons per cell
Calculated formation energy ... 0.651 eV/atom
Offset from the most stable computed form ... 29.9 kJ/mol of atoms

Lattice parameters (Å, degrees): 5.883 5.883 5.883 135.05 135.05 65.45
Sites, in units of the cell vectors:
Sc 0.750 0.250 0.500
Mo 0.250 0.750 0.500
Ca 0.000 0.000 0.000
Ca 0.500 0.500 0.000

Record 4
Compound: TmSc2Se
Source: Alexandria via LeMat-Bulk
Functional: PBE
Structure: relaxed

Total energy ... -5.954 eV/atom
Magnetic moment ... 0.0 Bohr magnetons per cell
Offset from the most stable computed form ... 0.0 kJ/mol of atoms
Formation energy from raw total energies ... -799 meV per atom

Lattice parameters (Å, degrees): 3.708 5.877 8.778 90.00 90.00 108.39
Sites, in units of the cell vectors:
Tm 0.941 0.883 0.250
Tm 0.059 0.117 0.750
Sc 0.360 0.721 0.544
Sc 0.640 0.279 0.456
Sc 0.360 0.721 0.956
Sc 0.640 0.279 0.044
Se 0.765 0.530 0.750
Se 0.235 0.470 0.250

Record 5
Compound: PrNdSn
Source: Alexandria via LeMat-Bulk
Functional: PBE
Structure: relaxed

Total energy ... -4.958 eV/atom
Magnetic moment ... 0.0 Bohr magnetons per cell
Calculated formation energy ... -0.441 eV/atom
Offset from the most stable computed form ... 15.0 kJ/mol of atoms

Lattice parameters (Å, degrees): 5.331 5.331 5.331 60.00 60.00 60.00
Sites, in units of the cell vectors:
Pr 0.500 0.500 0.500
Nd 0.000 0.000 0.000
Sn 0.250 0.250 0.250

Record 6
Compound: PmEuTmAl
Source: Alexandria via LeMat-Bulk
Functional: PBE
Structure: relaxed

Total energy ... -5.834 eV/atom
Magnetic moment ... 7.4 Bohr magnetons per cell
Calculated formation energy ... -0.024 eV/atom

Lattice parameters (Å, degrees): 5.428 5.428 5.428 60.00 60.00 60.00
Site moments in Bohr magnetons follow the coordinates.
Sites, in units of the cell vectors:
Eu 0.750 0.750 0.750  6.88
Tm 0.500 0.500 0.500  0.13
Al 0.250 0.250 0.250  -0.02
Pm 0.000 0.000 0.000  0.10

Record 7
Compound: Hf6Rh3O
Source: Alexandria via LeMat-Bulk
Functional: PBE
Structure: relaxed

Total energy ... -9.618 eV/atom
Magnetic moment ... 0.0 Bohr magnetons per cell
Formation energy from raw total energies ... -945 meV per atom

Lattice parameters (Å, degrees): 5.677 7.240 8.832 90.00 87.54 90.00
Sites, in units of the cell vectors:
Hf 0.664 0.148 0.953
Hf 0.649 0.226 0.574
Hf 0.671 0.437 0.259
Hf 0.329 0.563 0.741
Hf 0.351 0.774 0.426
Hf 0.336 0.852 0.047
Hf 0.164 0.352 0.453
Hf 0.149 0.274 0.074
Hf 0.171 0.063 0.759
Hf 0.829 0.937 0.241
Hf 0.851 0.726 0.926
Hf 0.836 0.648 0.547
Rh 0.600 0.902 0.715
Rh 0.500 0.500 0.000
Rh 0.400 0.098 0.285
Rh 0.100 0.598 0.215
Rh 0.000 0.000 0.500
Rh 0.900 0.402 0.785
O 0.500 0.500 0.500
O 0.000 0.000 0.000

Record 8
Compound: Sb4Rh3
Source: Alexandria via LeMat-Bulk
Functional: PBE
Structure: relaxed

Total energy ... -5.259 eV/atom
Magnetic moment ... 0.0 Bohr magnetons per cell
Formation energy from raw total energies ... 248 meV per atom

Lattice parameters (Å, degrees): 5.450 5.450 5.575 90.00 90.00 120.00
Sites, in units of the cell vectors:
Sb 0.000 0.000 0.242
Sb 0.000 0.000 0.758
Sb 0.667 0.333 0.500
Sb 0.333 0.667 0.500
Rh 0.000 0.500 0.000
Rh 0.500 0.500 0.000
Rh 0.500 0.000 0.000

Record 9
Compound: CeTiZn
Source: Alexandria via LeMat-Bulk
Functional: PBE
Structure: relaxed

Total energy ... -4.957 eV/atom
Magnetic moment ... 0.6 Bohr magnetons per cell
Calculated formation energy ... 0.077 eV/atom

Lattice parameters (Å, degrees): 3.085 4.811 4.811 120.00 90.00 90.00
Site moments in Bohr magnetons follow the coordinates.
Sites, in units of the cell vectors:
Zn 0.168 0.333 0.667  0.00
Ce 0.666 0.667 0.333  0.31
Ti 0.166 0.000 0.000  0.17

Record 10
Compound: LaGdAgPt
Source: Alexandria via LeMat-Bulk
Functional: PBE
Structure: relaxed

Total energy ... -7.671 eV/atom
Magnetic moment ... 7.2 Bohr magnetons per cell
Calculated formation energy ... -0.696 eV/atom

Lattice parameters (Å, degrees): 5.180 5.180 5.180 60.00 60.00 60.00
Site moments in Bohr magnetons follow the coordinates.
Sites, in units of the cell vectors:
Gd 0.250 0.250 0.250  -7.00
Ag 0.000 0.000 0.000  0.00
Pt 0.500 0.500 0.500  0.01
La 0.750 0.750 0.750  -0.01

Record 11
Compound: TaMnIn2
Source: Alexandria via LeMat-Bulk
Functional: PBE
Structure: relaxed

Total energy ... -6.380 eV/atom
Magnetic moment ... 3.7 Bohr magnetons per cell
Calculated formation energy ... 0.245 eV/atom
Offset from the most stable computed form ... 5.0 kJ/mol of atoms

Lattice parameters (Å, degrees): 5.229 6.693 2.966 63.81 89.94 120.99
Site moments in Bohr magnetons follow the coordinates.
Sites, in units of the cell vectors:
In 0.000 0.000 0.000  -0.03
In 0.000 0.500 0.500  -0.03
Mn 0.500 0.500 0.000  3.50
Ta 0.500 0.000 0.500  0.05

Record 12
Compound: RbTlHg2
Source: Alexandria via LeMat-Bulk
Functional: PBE
Structure: relaxed

Total energy ... -1.029 eV/atom
Magnetic moment ... 0.0 Bohr magnetons per cell
Calculated formation energy ... -0.044 eV/atom
Offset from the most stable computed form ... 10.0 kJ/mol of atoms

Lattice parameters (Å, degrees): 5.650 5.650 11.480 75.75 75.75 90.00
Sites, in units of the cell vectors:
Tl 0.000 0.000 0.000
Tl 0.750 0.250 0.500
Hg 0.755 0.125 0.250
Hg 0.995 0.625 0.250
Hg 0.375 0.245 0.750
Hg 0.875 0.005 0.750
Rb 0.500 0.500 0.000
Rb 0.250 0.750 0.500

Record 13
Compound: CaZn2In
Source: Alexandria via LeMat-Bulk
Functional: PBE
Structure: relaxed

Total energy ... -1.994 eV/atom
Magnetic moment ... 0.0 Bohr magnetons per cell
Calculated formation energy ... -0.172 eV/atom

Lattice parameters (Å, degrees): 4.713 3.505 5.613 89.98 90.00 90.00
Sites, in units of the cell vectors:
Zn 0.000 0.751 0.014
Zn 0.000 0.749 0.486
Ca 0.500 0.250 0.250
In 0.500 0.750 0.750

Record 14
Compound: Zr2FeSb
Source: Alexandria via LeMat-Bulk
Functional: PBE
Structure: relaxed

Total energy ... -7.343 eV/atom
Magnetic moment ... 1.7 Bohr magnetons per cell
Formation energy from raw total energies ... 77 meV per atom

Lattice parameters (Å, degrees): 9.023 9.023 9.023 21.04 21.04 21.04
Site moments in Bohr magnetons follow the coordinates.
Sites, in units of the cell vectors:
Fe 0.499 0.499 0.499  2.03
Sb 0.761 0.761 0.761  -0.03
Zr 0.001 0.001 0.001  0.06
Zr 0.239 0.239 0.239  -0.26

Record 15
Compound: La2Pm4Dy2Er
Source: Alexandria via LeMat-Bulk
Functional: PBE
Structure: relaxed

Total energy ... -4.729 eV/atom
Magnetic moment ... 0.0 Bohr magnetons per cell
Calculated formation energy ... 0.007 eV/atom

Lattice parameters (Å, degrees): 3.672 9.671 9.727 115.15 90.00 100.94
Sites, in units of the cell vectors:
La 0.335 0.670 0.002
La 0.665 0.330 0.998
Pm 0.814 0.628 0.665
Pm 0.186 0.372 0.335
Pm 0.519 0.038 0.335
Pm 0.481 0.962 0.665
Dy 0.853 0.705 0.335
Dy 0.147 0.295 0.665
Er 0.000 0.000 0.000

Record 16
Compound: Mg2ZrRh
Source: Alexandria via LeMat-Bulk
Functional: PBE
Structure: relaxed

Total energy ... -5.138 eV/atom
Magnetic moment ... 0.0 Bohr magnetons per cell
Calculated formation energy ... -0.366 eV/atom

Lattice parameters (Å, degrees): 3.336 3.306 7.888 65.21 90.00 90.00
Sites, in units of the cell vectors:
Mg 0.000 0.996 0.003
Mg 0.500 0.221 0.279
Rh 0.000 0.489 0.511
Zr 0.500 0.793 0.706

Record 17
Compound: MnCuIr
Source: Alexandria via LeMat-Bulk
Functional: PBE
Structure: relaxed

Total energy ... -7.273 eV/atom
Magnetic moment ... 3.6 Bohr magnetons per cell
Calculated formation energy ... 0.103 eV/atom
Offset from the most stable computed form ... 9.3 kJ/mol of atoms

Lattice parameters (Å, degrees): 4.201 4.201 2.647 90.00 90.00 120.00
Site moments in Bohr magnetons follow the coordinates.
Sites, in units of the cell vectors:
Mn 0.333 0.667 0.196  3.30
Cu 0.667 0.333 0.423  0.07
Ir 0.000 0.000 0.823  0.12

Record 18
Compound: Ce2DySe4
Source: Alexandria via LeMat-Bulk
Functional: PBE
Structure: relaxed

Total energy ... -6.107 eV/atom
Magnetic moment ... 4.8 Bohr magnetons per cell
Offset from the most stable computed form ... 3.4 kJ/mol of atoms
Formation energy from raw total energies ... -1763 meV per atom

Lattice parameters (Å, degrees): 4.015 7.257 14.068 90.00 90.00 106.06
Site moments in Bohr magnetons follow the coordinates.
Sites, in units of the cell vectors:
Ce 0.133 0.266 0.429  1.00
Ce 0.867 0.734 0.929  1.00
Ce 0.133 0.266 0.071  1.00
Ce 0.867 0.734 0.571  1.00
Dy 0.625 0.250 0.750  0.06
Dy 0.375 0.750 0.250  0.06
Se 0.781 0.562 0.127  -0.02
Se 0.781 0.562 0.373  -0.02
Se 0.219 0.438 0.873  -0.02
Se 0.219 0.438 0.627  -0.02
Se 0.976 0.953 0.750  -0.01
Se 0.024 0.047 0.250  -0.01
Se 0.500 0.000 0.000  -0.03
Se 0.500 0.000 0.500  -0.03

Record 19
Compound: SrBiAu
Source: Alexandria via LeMat-Bulk
Functional: PBE
Structure: relaxed

Total energy ... -3.611 eV/atom
Magnetic moment ... 0.0 Bohr magnetons per cell
Calculated formation energy ... -0.664 eV/atom

Lattice parameters (Å, degrees): 6.465 4.801 6.651 68.64 88.28 68.30
Sites, in units of the cell vectors:
Sr 0.254 0.690 0.264
Sr 0.840 0.216 0.631
Au 0.431 0.917 0.629
Au 0.663 0.988 0.265
Bi 0.290 0.376 0.850
Bi 0.804 0.529 0.044

Record 20
Compound: Be4IrRh
Source: Alexandria via LeMat-Bulk
Functional: PBE
Structure: relaxed

Total energy ... -5.645 eV/atom
Magnetic moment ... 0.0 Bohr magnetons per cell
Calculated formation energy ... -0.459 eV/atom
Offset from the most stable computed form ... 0.0 kJ/mol of atoms

Lattice parameters (Å, degrees): 4.362 4.362 4.362 60.00 60.00 60.00
Sites, in units of the cell vectors:
Be 0.875 0.375 0.375
Be 0.375 0.375 0.875
Be 0.375 0.875 0.375
Be 0.375 0.375 0.375
Ir 0.750 0.750 0.750
Rh 0.000 0.000 0.000

Record 21
Compound: Cs2K4Br3Cl2
Source: Alexandria via LeMat-Bulk
Functional: PBE
Structure: relaxed

Total energy ... -2.905 eV/atom
Magnetic moment ... 0.0 Bohr magnetons per cell
Formation energy from raw total energies ... -1558 meV per atom

Lattice parameters (Å, degrees): 5.984 5.984 14.366 102.02 102.02 90.00
Sites, in units of the cell vectors:
Cs 0.287 0.287 0.575
Cs 0.713 0.713 0.425
K 0.420 0.920 0.839
K 0.920 0.420 0.839
K 0.080 0.580 0.161
K 0.580 0.080 0.161
Br 0.000 0.000 0.000
Br 0.151 0.151 0.303
Br 0.849 0.849 0.697
Cl 0.413 0.413 0.826
Cl 0.587 0.587 0.174

Record 22
Compound: MnGa
Source: Alexandria via LeMat-Bulk
Functional: PBE
Structure: relaxed

Total energy ... -6.207 eV/atom
Magnetic moment ... 0.0 Bohr magnetons per cell
Calculated formation energy ... -0.109 eV/atom

Lattice parameters (Å, degrees): 2.737 2.737 14.654 90.00 90.00 90.00
Sites, in units of the cell vectors:
Mn 0.000 0.000 0.793
Mn 0.000 0.000 0.207
Mn 0.500 0.500 0.293
Mn 0.500 0.500 0.707
Ga 0.000 0.000 0.413
Ga 0.000 0.000 0.587
Ga 0.500 0.500 0.913
Ga 0.500 0.500 0.087

Record 23
Compound: Sm3Co5S12
Source: Alexandria via LeMat-Bulk
Functional: PBE
Structure: relaxed

Total energy ... -5.810 eV/atom
Magnetic moment ... 29.9 Bohr magnetons per cell
Formation energy from raw total energies ... -850 meV per atom

Lattice parameters (Å, degrees): 12.574 12.574 12.574 109.47 109.47 109.47
Site moments in Bohr magnetons follow the coordinates.
Sites, in units of the cell vectors:
Sm 0.750 0.375 0.125  0.05
Sm 0.875 0.750 0.125  0.05
Sm 0.375 0.750 0.625  0.05
Sm 0.250 0.125 0.375  0.05
Sm 0.875 0.125 0.250  0.05
Sm 0.375 0.625 0.250  0.05
Sm 0.625 0.375 0.750  0.05
Sm 0.125 0.875 0.750  0.05
Sm 0.750 0.875 0.625  0.05
Sm 0.625 0.250 0.375  0.05
Sm 0.125 0.250 0.875  0.05
Sm 0.250 0.625 0.875  0.05
Co 0.125 0.375 0.250  1.56
Co 0.000 0.500 0.000  0.36
Co 0.000 0.000 0.000  0.36
Co 0.375 0.250 0.125  1.56
Co 0.500 0.000 0.500  0.36
Co 0.500 0.500 0.000  0.36
Co 0.125 0.750 0.375  1.56
Co 0.750 0.125 0.875  1.56
Co 0.750 0.625 0.375  1.56
Co 0.375 0.125 0.750  1.56
Co 0.625 0.875 0.250  1.56
Co 0.500 0.500 0.500  0.36
Co 0.500 0.000 0.000  0.36
Co 0.000 0.000 0.500  0.36
Co 0.250 0.375 0.625  1.56
Co 0.250 0.875 0.125  1.56
Co 0.000 0.500 0.500  0.36
Co 0.875 0.250 0.625  1.56
Co 0.625 0.750 0.875  1.56
Co 0.875 0.625 0.750  1.56
S 0.698 0.111 0.021  0.08
S 0.322 0.521 0.409  0.08
S 0.979 0.389 0.302  0.08
S 0.521 0.198 0.111  0.08
S 0.587 0.698 0.678  0.08
S 0.979 0.591 0.178  0.08
S 0.322 0.802 0.413  0.08
S 0.091 0.913 0.111  0.08
S 0.591 0.979 0.678  0.08
S 0.698 0.587 0.178  0.08
S 0.802 0.479 0.389  0.08
S 0.822 0.909 0.021  0.08
S 0.111 0.698 0.521  0.08
S 0.389 0.409 0.087  0.08
S 0.087 0.909 0.389  0.08
S 0.413 0.111 0.591  0.08
S 0.087 0.178 0.198  0.08
S 0.479 0.678 0.091  0.08
S 0.822 0.913 0.302  0.08
S 0.111 0.413 0.091  0.08
S 0.389 0.979 0.802  0.08
S 0.591 0.611 0.413  0.08
S 0.909 0.822 0.521  0.08
S 0.802 0.322 0.913  0.08
S 0.409 0.389 0.587  0.08
S 0.091 0.178 0.479  0.08
S 0.198 0.678 0.087  0.08
S 0.178 0.087 0.698  0.08
S 0.611 0.021 0.198  0.08
S 0.889 0.587 0.909  0.08
S 0.521 0.322 0.909  0.08
S 0.587 0.889 0.409  0.08
S 0.913 0.822 0.802  0.08
S 0.913 0.091 0.611  0.08
S 0.889 0.302 0.479  0.08
S 0.178 0.091 0.979  0.08
S 0.611 0.591 0.913  0.08
S 0.409 0.021 0.322  0.08
S 0.302 0.413 0.822  0.08
S 0.198 0.521 0.611  0.08
S 0.909 0.087 0.889  0.08
S 0.678 0.198 0.587  0.08
S 0.479 0.802 0.889  0.08
S 0.021 0.409 0.822  0.08
S 0.413 0.302 0.322  0.08
S 0.021 0.611 0.698  0.08
S 0.678 0.479 0.591  0.08
S 0.302 0.889 0.979  0.08